Record 1
## PuNb2 (PBE-GGA)

Data for a relaxed PuNb2 crystal.

Values from the calculation:
Final energy, eV/atom: -8.330
Total magnetization, Bohr magnetons per cell: 5.18
Formation enthalpy at 0 K, eV per atom: 3.11
Symmetry: Fd-3m
Crystal system: cubic

Lattice parameters (Å, degrees): 7.6717 7.6717 7.6717 60.00 60.00 60.00
Closest atoms and distances in Å follow each position.
Fractional coordinates of all 6 atoms:
Nb  0.6250  0.6250  0.1250  2 Pu 2.35
Nb  0.6250  0.1250  0.6250  2 Pu 2.35
Nb  0.1250  0.6250  0.6250  2 Pu 2.35
Nb  0.6250  0.6250  0.6250  2 Pu 2.35
Pu  0.5000  0.5000  0.5000  4 Nb 2.35
Pu  0.7500  0.7500  0.7500  4 Nb 2.35

=====

Record 2
## LaPuOs (PBE-GGA)

Data for a relaxed LaPuOs crystal.

Values from the calculation:
Final energy, eV/atom: -10.084
Total magnetization, Bohr magnetons per cell: 5.48
Formation enthalpy at 0 K, eV per atom: 0.01
Symmetry: F-43m
E above lowest polymorph, eV/atom: 0.000
Crystal system: cubic

Lattice parameters (Å, degrees): 4.8510 4.8510 4.8510 60.00 60.00 60.00
Closest atoms and distances in Å follow each position.
Fractional coordinates of all 3 atoms:
La  0.2500  0.2500  0.2500  4 Os 2.97
Os  0.0000  0.0000  0.0000  4 La 2.97, 4 Pu 2.97
Pu  0.7500  0.7500  0.7500  4 Os 2.97

=====

Record 3
## DyTmPb4 (PBE-GGA)

Data for a relaxed DyTmPb4 crystal.

Values from the calculation:
Final energy, eV/atom: -3.750
Total magnetization, Bohr magnetons per cell: 0.01
Symmetry: Amm2
Crystal system: orthorhombic

Lattice parameters (Å, degrees): 3.2985 10.1137 10.1137 36.29 90.00 90.00
Closest atoms and distances in Å follow each position.
Fractional coordinates of all 6 atoms:
Dy  0.0000  0.4089  0.4089  3 Pb 3.15-3.16, 2 Dy 3.30, 1 Tm 3.48
Pb  0.0000  0.0839  0.0839  4 Pb 3.09-3.30, 2 Tm 3.15
Pb  0.0000  0.2448  0.2448  5 Pb 3.09-3.30, 1 Dy 3.16
Pb  0.0000  0.7549  0.7549  5 Pb 3.12-3.30, 1 Tm 3.17
Pb  0.0000  0.9175  0.9175  4 Pb 3.12-3.30, 2 Dy 3.15
Tm  0.0000  0.5899  0.5899  3 Pb 3.15-3.17, 2 Tm 3.30, 1 Dy 3.48